PBE-GGA BaSmY4S8, relaxed; crystal system = trigonal; electronic total energy = -93.12 eV per formula unit; SG = R3m; E_form (uncorrected) = -1.971 eV per atom
1.0
4.1295 2.3841 6.8036
-4.1295 2.3841 6.8036
0.0000 -4.7683 6.8036
Ba Sm Y S
1 1 4 8
Cartesian
0.0000 0.0000 0.0000
0.0000 0.0000 7.5954
0.0000 -2.4154 11.0436
-2.0918 1.2077 11.0436
0.0000 0.0000 15.2815
2.0918 1.2077 11.0436
0.0000 -2.0646 5.7715
-1.7880 1.0323 5.7715
0.0000 0.0000 2.9015
-1.9649 -1.1344 9.4099
1.7880 1.0323 5.7715
0.0000 0.0000 12.5835
1.9649 -1.1344 9.4098
0.0000 2.2689 9.4098

=====

PBE-GGA Y3MgN, relaxed; crystal system = trigonal; electronic total energy = -31.62 eV per formula unit; SG = R-3; energy above the lowest structure with this stoichiometry = 261 meV/atom; E_form (uncorrected) = -0.462 eV per atom
1.0
3.0736 1.7745 8.0224
-3.0736 1.7745 8.0224
0.0000 -3.5490 8.0224
Y Mg N
6 2 2
Cartesian
-1.1033 -1.8491 10.6661
-2.1530 0.0309 13.4012
-1.0497 1.8800 10.6661
1.0498 -1.8800 13.4012
2.1530 -0.0309 10.6661
1.1032 1.8491 13.4012
0.0000 0.0000 8.0920
0.0000 0.0000 15.9752
0.0000 0.0000 3.9662
0.0000 0.0000 20.1011

=====

no.,density of states at the Fermi level (states/eV/cell)
1,3.500
2,8.288